(1)
Below is PaNiGePt after structural relaxation, with properties calculated at the PBE level.

Unit cell a=4.613 b=4.613 c=4.613 alpha=60.00 beta=60.00 gamma=60.00
Fractional coordinates of all 4 atoms:
Ge1 0.500 0.500 0.500
Pa1 0.750 0.750 0.750
Ni1 0.000 0.000 0.000
Pt1 0.250 0.250 0.250

Properties
Electronic total energy: -6.884 eV/atom
SG: F-43m (216)

***

(2)
Below is Pa2Ni4Ge3Pt after structural relaxation, with properties calculated at the PBE level.

Unit cell a=3.911 b=3.911 c=10.555 alpha=90.00 beta=90.00 gamma=90.00
Fractional coordinates of all 10 atoms:
Ni1 0.500 0.500 0.000
Ni2 0.000 0.500 0.342
Ni3 0.500 0.000 0.658
Ni4 0.000 0.000 0.000
Ge1 0.000 0.000 0.500
Ge2 0.000 0.500 0.123
Ge3 0.500 0.000 0.877
Pa1 0.000 0.500 0.746
Pa2 0.500 0.000 0.254
Pt1 0.500 0.500 0.500

Properties
Electronic total energy: -6.790 eV/atom
SG: P-4m2 (115)

***

(3)
Below is Pa2Ni12Ge3Pt after structural relaxation, with properties calculated at the PBE level.

Unit cell a=6.367 b=6.367 c=6.367 alpha=83.48 beta=83.48 gamma=83.48
Fractional coordinates of all 18 atoms:
Ni1 0.894 0.393 0.393
Ni2 0.607 0.106 0.607
Ni3 0.393 0.894 0.393
Ni4 0.393 0.393 0.894
Ni5 0.201 0.691 0.201
Ni6 0.106 0.607 0.607
Ni7 0.201 0.201 0.691
Ni8 0.309 0.799 0.799
Ni9 0.799 0.309 0.799
Ni10 0.691 0.201 0.201
Ni11 0.607 0.607 0.106
Ni12 0.799 0.799 0.309
Ge1 0.500 0.000 0.000
Ge2 0.000 0.000 0.500
Ge3 0.000 0.500 0.000
Pa1 0.335 0.335 0.335
Pa2 0.665 0.665 0.665
Pt1 0.000 0.000 0.000

Properties
Electronic total energy: -6.153 eV/atom
SG: R-3m (166)

***

(4)
Below is Pa2NiGe4Pt3 after structural relaxation, with properties calculated at the PBE level.

Unit cell a=4.286 b=4.286 c=9.942 alpha=90.00 beta=90.00 gamma=90.00
Fractional coordinates of all 10 atoms:
Pt1 0.000 0.500 0.131
Pt2 0.000 0.000 0.500
Pt3 0.500 0.000 0.869
Ni1 0.500 0.500 0.500
Ge1 0.000 0.000 0.000
Ge2 0.500 0.500 0.000
Ge3 0.000 0.500 0.375
Ge4 0.500 0.000 0.625
Pa1 0.500 0.000 0.262
Pa2 0.000 0.500 0.738

Properties
Electronic total energy: -6.822 eV/atom
SG: P-4m2 (115)